(1)
This record from Alexandria describes NdCu12Si6 after structural relaxation. The functional is GGA-PBE.

abc: 6.6947 6.6947 6.6947
angles: 103.37 103.37 103.37
Element x y z (fractional)
Si 0.3011 0.7281 0.7281
Si 0.2719 0.2719 0.6989
Cu 0.1147 0.8853 0.5000
Cu 0.3989 0.3989 0.1407
Cu 0.8853 0.5000 0.1147
Si 0.6989 0.2719 0.2719
Cu 0.8593 0.6011 0.6011
Cu 0.1407 0.3989 0.3989
Cu 0.8853 0.1147 0.5000
Si 0.2719 0.6989 0.2719
Si 0.7281 0.7281 0.3011
Cu 0.6011 0.8593 0.6011
Cu 0.6011 0.6011 0.8593
Cu 0.5000 0.1147 0.8853
Cu 0.3989 0.1407 0.3989
Si 0.7281 0.3011 0.7281
Cu 0.5000 0.8853 0.1147
Cu 0.1147 0.5000 0.8853
Nd 0.0000 0.0000 0.0000

Electronic total energy = -86.687 eV/cell
Raw formation energy = -0.012 eV/atom
ρ = 6593 kg/m3

(2)
This record from Alexandria describes ScTi2AlAu after structural relaxation. The functional is GGA-PBE.

abc: 4.7958 4.6674 4.7958
angles: 90.00 90.00 90.00
Element x y z (fractional)
Al 0.0000 0.0000 0.0000
Sc 0.5000 0.5000 0.5000
Au 0.0000 0.5000 0.0000
Ti 0.5000 0.0000 0.0000
Ti 0.0000 0.0000 0.5000

Electronic total energy = -26.885 eV/cell
Energy of formation from the pure elements = 451.3 meV per atom
ρ = 5641 kg/m3
Polymorph energy (0 for the lowest one) = 0.0000 eV per atom

(3)
This record from Alexandria describes LaAl2Ag2 after structural relaxation. The functional is GGA-PBE.

abc: 4.3476 4.3476 6.5408
angles: 70.59 70.59 90.00
Element x y z (fractional)
Al 0.2500 0.7500 0.5000
Ag 0.3798 0.3798 0.2404
Al 0.7500 0.2500 0.5000
La 0.0000 0.0000 0.0000
Ag 0.6202 0.6202 0.7596

Electronic total energy = -19.767 eV/cell
Energy of formation from the pure elements = -330.4 meV per atom
ρ = 6218 kg/m3

> Which of these has the highest ρ?

NdCu12Si6

> What is the formula in the first record?

NdCu12Si6

> Which of these has the highest electronic total energy?

LaAl2Ag2